First-principles (GGA+U) data for a geometry-optimized PrAg2WO6 structure, as listed in the Alexandria database.

uncorrected energy: -63.54 eV per formula unit
density: 7.327 g/cm³
magnetic moment: 1.0 μB per formula unit

CIF file:
```
data_PrAg2WO6
_cell_length_a 5.795
_cell_length_b 5.799
_cell_length_c 5.975
_cell_angle_alpha 89.97
_cell_angle_beta 61.02
_cell_angle_gamma 60.03
_space_group_name_H-M_alt 'P 1'
_space_group_IT_number 1
loop_
_space_group_symop_operation_xyz
'x,y,z'
loop_
_atom_site_label
_atom_site_fract_x
_atom_site_fract_y
_atom_site_fract_z
_atom_site_occupancy
Pr1 0.000 0.000 0.000 1
Ag1 0.505 0.247 0.742 1
Ag2 0.565 0.717 0.151 1
W1 0.003 0.498 0.496 1
O1 0.083 0.612 0.757 1
O2 0.102 0.729 0.295 1
O3 0.434 0.171 0.293 1
O4 0.548 0.839 0.757 1
O5 0.858 0.302 0.754 1
O6 0.876 0.398 0.293 1
```